*P*
Entry from the Alexandria database: TaSnNF2 after structural relaxation (PBE).

```
TaSnNF2
1.0
4.291 0.000 0.000
0.000 4.291 0.000
0.000 0.000 4.060
Ta Sn N F
1 1 1 2
direct
0.000 0.000 0.000 Ta
0.500 0.500 0.500 Sn
0.000 0.000 0.500 N
0.000 0.500 0.000 F
0.500 0.000 0.000 F
```

Computed properties:
Crystal system   tetragonal

*Q*
Entry from the Alexandria database: TaSnNF2 after structural relaxation (PBE).

```
TaSnNF2
1.0
4.239 0.000 0.000
0.000 4.239 0.000
0.000 0.000 4.411
Ta Sn N F
1 1 1 2
direct
0.000 0.000 0.000 Ta
0.500 0.500 0.500 Sn
0.500 0.500 0.000 N
0.000 0.500 0.500 F
0.500 0.000 0.500 F
```

Computed properties:
Crystal system   tetragonal

Short version: *P*, *Q*, most stable first.

*P*
Entry from the Alexandria database: TcSnNF2 after structural relaxation (PBE).

```
TcSnNF2
1.0
4.348 0.000 0.000
0.000 4.348 0.000
0.000 0.000 3.831
Tc Sn N F
1 1 1 2
direct
0.000 0.000 0.000 Tc
0.500 0.500 0.500 Sn
0.000 0.000 0.500 N
0.000 0.500 0.000 F
0.500 0.000 0.000 F
```

Computed properties:
Crystal system   tetragonal

*Q*
Entry from the Alexandria database: TcSnNF2 after structural relaxation (PBE).

```
TcSnNF2
1.0
4.372 0.000 0.000
0.000 4.372 0.000
0.000 0.000 4.068
Tc Sn N F
1 1 1 2
direct
0.000 0.000 0.000 Tc
0.500 0.500 0.500 Sn
0.500 0.500 0.000 N
0.000 0.500 0.500 F
0.500 0.000 0.500 F
```

Computed properties:
Crystal system   tetragonal

Short version: *P*, *Q*, most stable first.

*P*
Entry from the Alexandria database: SnTe2NF after structural relaxation (PBE).

```
SnTe2NF
1.0
4.788 0.000 0.000
0.000 4.788 0.000
0.000 0.000 4.682
Sn Te N F
1 2 1 1
direct
0.000 0.000 0.000 Sn
0.000 0.500 0.500 Te
0.500 0.000 0.500 Te
0.500 0.500 0.000 N
0.500 0.500 0.500 F
```

Computed properties:
Crystal system   tetragonal

*Q*
Entry from the Alexandria database: SnTe2NF after structural relaxation (PBE).

```
SnTe2NF
1.0
5.909 0.000 0.000
0.000 5.909 0.000
0.000 0.000 3.893
Sn Te N F
1 2 1 1
direct
0.000 0.000 0.000 Sn
0.000 0.500 0.000 Te
0.500 0.000 0.000 Te
0.000 0.000 0.500 N
0.500 0.500 0.500 F
```

Computed properties:
Crystal system   tetragonal

Short version: *Q*, *P*, most stable first.

*P*
Entry from the Alexandria database: TiSnNF2 after structural relaxation (PBE).

```
TiSnNF2
1.0
4.314 0.000 0.000
0.000 4.314 0.000
0.000 0.000 4.223
Ti Sn N F
1 1 1 2
direct
0.000 0.000 0.000 Ti
0.500 0.500 0.500 Sn
0.500 0.500 0.000 N
0.000 0.500 0.500 F
0.500 0.000 0.500 F
```

Computed properties:
Crystal system   tetragonal

*Q*
Entry from the Alexandria database: TiSnNF2 after structural relaxation (PBE).

```
TiSnNF2
1.0
4.134 0.000 0.000
0.000 4.134 0.000
0.000 0.000 4.028
Ti Sn N F
1 1 1 2
direct
0.000 0.000 0.000 Ti
0.500 0.500 0.500 Sn
0.000 0.000 0.500 N
0.000 0.500 0.000 F
0.500 0.000 0.000 F
```

Computed properties:
Crystal system   tetragonal

Short version: *Q*, *P*, most stable first.

*P*
Entry from the Alexandria database: TlSnNF2 after structural relaxation (PBE).

```
TlSnNF2
1.0
4.574 0.000 0.000
0.000 4.574 0.000
0.000 0.000 3.906
Tl Sn N F
1 1 1 2
direct
0.000 0.000 0.000 Tl
0.500 0.500 0.500 Sn
0.500 0.500 0.000 N
0.000 0.500 0.500 F
0.500 0.000 0.500 F
```

Computed properties:
Crystal system   tetragonal

*Q*
Entry from the Alexandria database: TlSnNF2 after structural relaxation (PBE).

```
TlSnNF2
1.0
4.555 0.000 0.000
0.000 4.555 0.000
0.000 0.000 4.246
Tl Sn N F
1 1 1 2
direct
0.000 0.000 0.000 Tl
0.500 0.500 0.500 Sn
0.000 0.000 0.500 N
0.000 0.500 0.000 F
0.500 0.000 0.000 F
```

Computed properties:
Crystal system   tetragonal

Short version: *P*, *Q*, most stable first.